Material: PuScBr6
Method: DFT, PBE
State: optimized geometry

Computed properties:
* V: 36.81 Å³ per atom
* energy above the most stable polymorph in this dataset: 0.000 eV/atom
* uncorrected energy: -5.4060 eV/atom
* ΔE_f (raw): -12.55 eV/f.u.

Structure (CIF):
```
data_PuScBr6
_symmetry_space_group_name_H-M 'C 1 2/m 1'
_symmetry_Int_Tables_number 12
_cell_length_a 6.898
_cell_length_b 13.008
_cell_length_c 6.870
_cell_angle_alpha 90.00
_cell_angle_beta 107.16
_cell_angle_gamma 90.00
loop_
_symmetry_equiv_pos_as_xyz
'x,y,z'
'-x,-y,-z'
'-x,y,-z'
'x,-y,z'
'x+1/2,y+1/2,z'
'-x+1/2,-y+1/2,-z'
'-x+1/2,y+1/2,-z'
'x+1/2,-y+1/2,z'
loop_
_atom_site_label
_atom_site_type_symbol
_atom_site_fract_x
_atom_site_fract_y
_atom_site_fract_z
Pu1 Pu 0.000 0.000 0.000
Sc1 Sc 0.000 0.500 0.500
Br1 Br 0.231 0.356 0.734
Br2 Br 0.243 0.500 0.260
```